Material: LiCu2Au2
Method: DFT, PBEsol
State: optimized geometry

The space group is I4/mmm (No. 139) and the conventional cell measures 3.858, 3.858 and 11.366 Å, with angles of 90.00, 90.00 and 90.00 degrees. Symmetry generates all atoms from Li at (0.000, 0.000, 0.000), Cu at (0.000, 0.000, 0.400) and Au at (0.000, 0.500, 0.250).

The spin magnetization comes out at 0.00 μB per cell. As for the total energy: -36.19 eV/cell.